VASP calculation (PBE+U) on a geometry-optimized LiUWO6 structure.

Computed properties:
**Final energy**: -0.58810 Ry/atom

The structure in CIF format:
```
data_LiUWO6
_space_group_name_H-M_alt 'P -3 1 c'
_space_group_IT_number 163
_space_group_name_Hall '-P 3 2c'
_cell_length_a 5.5390
_cell_length_b 5.5390
_cell_length_c 9.4143
_cell_angle_alpha 90.00
_cell_angle_beta 90.00
_cell_angle_gamma 120.00
loop_
_atom_site_label
_atom_site_type_symbol
_atom_site_fract_x
_atom_site_fract_y
_atom_site_fract_z
Li1 Li 0.0000 0.0000 0.0000
U1 U 0.3333 0.6667 0.2500
W1 W 0.3333 0.6667 0.7500
O1 O 0.0270 0.3782 0.6377
```